Entry from Alexandria: a relaxed BeSe5 crystal (PBE-GGA).

The calculation puts the energy above the most stable polymorph in this dataset at 0 meV per atom. Its total magnetization is 0.0 μB per formula unit. The uncorrected formation energy comes out at -6.28 kJ/mol of atoms.

It has space group Cm (No. 8), with a = 14.818 Å, b = 3.745 Å, c = 7.222 Å, α = 90.00°, β = 107.08° and γ = 90.00°. The distinct sites, in fractional coordinates, are Be at (0.000, 0.000, 0.000), Se at (0.009, 0.500, 0.173), Se at (0.131, 0.500, 0.797), Se at (0.264, 0.000, 0.844), Se at (0.347, 0.000, 0.179) and Se at (0.497, 0.500, 0.707).